1.
# Ca2YCd

Crystalline Ca2YCd at its relaxed geometry (GGA-PBE, Alexandria via LeMat-Bulk).

Summary:
SG: P2/m
ΔH_f (0 K), eV per atom: -0.062

Cell lengths 4.1327, 4.1253, 8.5763 Å; angles 61.36, 90.00, 90.00 degrees
With the nearest neighbours (Å) after each atom.
Atoms (fractional coordinates):
Ca  0.0000  0.9812  0.0194  4 Cd 3.39-3.40, 1 Ca 3.47, 4 Y 3.55-3.56
Cd  0.5000  0.2500  0.2500  8 Ca 3.39-3.40, 2 Y 3.76
Y  0.5000  0.7500  0.7500  8 Ca 3.55-3.56, 2 Cd 3.76
Ca  0.0000  0.5188  0.4806  4 Cd 3.39-3.40, 1 Ca 3.47, 4 Y 3.55-3.56

---

2.
# Tl6HgAu8

Crystalline Tl6HgAu8 at its relaxed geometry (GGA-PBE, Alexandria via LeMat-Bulk).

Summary:
SG: R-3
ΔH_f (0 K), eV per atom: 0.015

Cell lengths 7.5154, 7.5154, 7.5154 Å; angles 69.90, 69.90, 69.90 degrees
With the nearest neighbours (Å) after each atom.
Atoms (fractional coordinates):
Au  0.0280  0.4154  0.8414  3 Au 2.85-2.94, 1 Hg 2.99, 5 Tl 2.99-3.14
Tl  0.6413  0.4148  0.1662  5 Au 2.99-3.14
Au  0.1845  0.1845  0.1845  6 Au 2.85-2.94, 1 Hg 3.12
Au  0.5846  0.1586  0.9720  3 Au 2.85-2.94, 1 Hg 2.99, 5 Tl 2.99-3.14
Tl  0.8338  0.3587  0.5851  5 Au 2.99-3.14
Hg  0.0000  0.0000  0.0000  8 Au 2.99-3.12
Au  0.9720  0.5846  0.1586  3 Au 2.85-2.94, 1 Hg 2.99, 5 Tl 2.99-3.14
Au  0.8414  0.0280  0.4154  3 Au 2.85-2.94, 1 Hg 2.99, 5 Tl 2.99-3.14
Au  0.8155  0.8155  0.8155  6 Au 2.85-2.94, 1 Hg 3.12
Tl  0.5851  0.8338  0.3587  5 Au 2.99-3.14
Au  0.1586  0.9720  0.5846  3 Au 2.85-2.94, 1 Hg 2.99, 5 Tl 2.99-3.14
Tl  0.4148  0.1662  0.6413  5 Au 2.99-3.14
Au  0.4154  0.8414  0.0280  3 Au 2.85-2.94, 1 Hg 2.99, 5 Tl 2.99-3.14
Tl  0.3587  0.5851  0.8338  5 Au 2.99-3.14
Tl  0.1662  0.6413  0.4148  5 Au 2.99-3.14

---

3.
# NaFeCl3

Crystalline NaFeCl3 at its relaxed geometry (GGA-PBE, Alexandria via LeMat-Bulk).

Summary:
SG: Pm-3m
ΔE_f (raw), eV per atom: -0.997

Cell lengths 4.8817, 4.8817, 4.8817 Å; angles 90.00, 90.00, 90.00 degrees
With the nearest neighbours (Å) after each atom.
Atoms (fractional coordinates):
Na  0.5000  0.5000  0.5000  12 Cl 3.45
Cl  0.5000  0.0000  0.0000  2 Fe 2.44
Fe  0.0000  0.0000  0.0000  6 Cl 2.44
Cl  0.0000  0.0000  0.5000  2 Fe 2.44
Cl  0.0000  0.5000  0.0000  2 Fe 2.44

---

4.
# Sm4InOs

Crystalline Sm4InOs at its relaxed geometry (GGA-PBE, Alexandria via LeMat-Bulk).

Summary:
SG: C2/c
ΔH_f (0 K), eV per atom: -0.274
Energy above the lowest structure with this stoichiometry, meV/atom: 18

Cell lengths 6.2282, 9.1190, 8.0743 Å; angles 114.76, 99.91, 112.22 degrees
With the nearest neighbours (Å) after each atom.
Atoms (fractional coordinates):
In  0.6262  0.3762  0.7524  8 Sm 3.27-3.50
Sm  0.2609  0.6465  0.8504  2 Os 2.96-3.03, 1 In 3.27
Os  0.2497  0.9997  0.9995  8 Sm 2.90-3.03, 2 Os 3.11
Sm  0.7391  0.3535  0.1496  2 Os 2.96-3.03, 1 In 3.27
Sm  0.2286  0.2787  0.3381  2 Os 2.90-2.92
Sm  0.9104  0.7961  0.1496  2 Os 2.96-3.03, 1 In 3.27
Sm  0.7714  0.7213  0.6619  2 Os 2.90-2.92
Sm  0.3905  0.9407  0.6619  2 Os 2.90-2.92
In  0.3738  0.6238  0.2476  8 Sm 3.27-3.50
Sm  0.0896  0.2039  0.8504  2 Os 2.96-3.03, 1 In 3.27
Sm  0.6095  0.0593  0.3381  2 Os 2.90-2.92
Os  0.7503  0.0003  0.0005  8 Sm 2.90-3.03, 2 Os 3.11

---

5.
# Na12CaPb4

Crystalline Na12CaPb4 at its relaxed geometry (GGA-PBE, Alexandria via LeMat-Bulk).

Summary:
SG: Im-3
ΔH_f (0 K), eV per atom: 0.100

Cell lengths 9.6279, 9.6279, 9.6279 Å; angles 109.47, 109.47, 109.47 degrees
With the nearest neighbours (Å) after each atom.
Atoms (fractional coordinates):
Pb  0.0000  0.5000  0.0000  6 Na 3.05
Ca  0.0000  0.0000  0.0000  12 Na 4.12
Pb  0.5000  0.5000  0.5000  6 Na 3.05
Na  0.1603  0.8306  0.3297  2 Pb 3.05
Pb  0.5000  0.0000  0.0000  6 Na 3.05
Na  0.3297  0.1603  0.8306  2 Pb 3.05
Na  0.1694  0.3297  0.4991  2 Pb 3.05
Na  0.6703  0.8397  0.1694  2 Pb 3.05
Na  0.8397  0.1694  0.6703  2 Pb 3.05
Na  0.3297  0.4991  0.1694  2 Pb 3.05
Na  0.8306  0.6703  0.5009  2 Pb 3.05
Na  0.5009  0.8306  0.6703  2 Pb 3.05
Na  0.4991  0.1694  0.3297  2 Pb 3.05
Na  0.6703  0.5009  0.8306  2 Pb 3.05
Pb  0.0000  0.0000  0.5000  6 Na 3.05
Na  0.8306  0.3297  0.1603  2 Pb 3.05
Na  0.1694  0.6703  0.8397  2 Pb 3.05

---

6.
# Sr2Zn2Bi

Crystalline Sr2Zn2Bi at its relaxed geometry (GGA-PBE, Alexandria via LeMat-Bulk).

Summary:
SG: I4/mmm
ΔH_f (0 K), eV per atom: -0.217
Energy above the lowest structure with this stoichiometry, meV/atom: 183

Cell lengths 6.2200, 6.2200, 6.0832 Å; angles 59.25, 59.25, 90.00 degrees
With the nearest neighbours (Å) after each atom.
Atoms (fractional coordinates):
Bi  0.0000  0.0000  0.0000  2 Zn 3.00
Zn  0.6426  0.6426  0.7148  1 Zn 2.40
Sr  0.2500  0.7500  0.5000  4 Zn 3.24
Sr  0.7500  0.2500  0.5000  4 Zn 3.24
Zn  0.3574  0.3574  0.2852  1 Zn 2.40

---

7.
# ScZnBr2

Crystalline ScZnBr2 at its relaxed geometry (GGA-PBE, Alexandria via LeMat-Bulk).

Summary:
SG: Imm2
ΔE_f (raw), eV per atom: -0.728
Energy above the lowest structure with this stoichiometry, meV/atom: 177

Cell lengths 7.3776, 7.3776, 7.3776 Å; angles 153.75, 141.83, 46.92 degrees
With the nearest neighbours (Å) after each atom.
Atoms (fractional coordinates):
Br  0.6736  0.1736  0.5000  2 Sc 2.73
Zn  0.3311  0.8311  0.5000  2 Sc 3.00, 2 Br 3.15, 2 Zn 3.35
Br  0.9807  0.9807  0.0000  4 Sc 2.97, 2 Zn 3.15
Sc  0.5147  0.5147  0.0000  6 Br 2.73-2.97, 2 Zn 3.00

---

8.
# KLaEuSbO6

Crystalline KLaEuSbO6 at its relaxed geometry (GGA-PBE, Alexandria via LeMat-Bulk).

Summary:
SG: F-43m
ΔE_f (raw), eV per atom: -2.214
Energy above the lowest structure with this stoichiometry, meV/atom: 100

Cell lengths 5.9795, 5.9795, 5.9795 Å; angles 60.00, 60.00, 60.00 degrees
With the nearest neighbours (Å) after each atom.
Atoms (fractional coordinates):
O  0.7351  0.2649  0.7351  1 Sb 1.99
O  0.2649  0.7351  0.2649  1 Sb 1.99
O  0.2649  0.2649  0.7351  1 Sb 1.99
O  0.2649  0.7351  0.7351  1 Sb 1.99
O  0.7351  0.7351  0.2649  1 Sb 1.99
Sb  0.5000  0.5000  0.5000  6 O 1.99
K  0.7500  0.7500  0.7500  12 O 2.99
La  0.2500  0.2500  0.2500  12 O 2.99
Eu  0.0000  0.0000  0.0000  6 O 2.24
O  0.7351  0.2649  0.2649  1 Sb 1.99

---

9.
# CoNi2Rh2

Crystalline CoNi2Rh2 at its relaxed geometry (GGA-PBE, Alexandria via LeMat-Bulk).

Summary:
SG: P4/mbm
ΔH_f (0 K), eV per atom: 0.350
Energy above the lowest structure with this stoichiometry, meV/atom: 201

Cell lengths 7.0587, 7.0587, 2.6928 Å; angles 90.00, 90.00, 90.00 degrees
With the nearest neighbours (Å) after each atom.
Atoms (fractional coordinates):
Ni  0.1664  0.6664  0.5000  6 Rh 2.42-2.52, 2 Ni 2.69
Rh  0.8673  0.6327  0.0000  6 Ni 2.42-2.52, 3 Rh 2.65-2.69
Ni  0.8336  0.3336  0.5000  6 Rh 2.42-2.52, 2 Ni 2.69
Rh  0.1327  0.3673  0.0000  6 Ni 2.42-2.52, 3 Rh 2.65-2.69
Rh  0.6327  0.1327  0.0000  6 Ni 2.42-2.52, 3 Rh 2.65-2.69
Ni  0.6664  0.8336  0.5000  6 Rh 2.42-2.52, 2 Ni 2.69
Rh  0.3673  0.8673  0.0000  6 Ni 2.42-2.52, 3 Rh 2.65-2.69
Ni  0.3336  0.1664  0.5000  6 Rh 2.42-2.52, 2 Ni 2.69
Co  0.0000  0.0000  0.0000  2 Co 2.69, 4 Rh 2.76, 8 Ni 2.96
Co  0.5000  0.5000  0.0000  2 Co 2.69, 4 Rh 2.76, 8 Ni 2.96

---

10.
# SrTi2As2

Crystalline SrTi2As2 at its relaxed geometry (GGA-PBE, Alexandria via LeMat-Bulk).

Summary:
SG: P4/mbm
ΔH_f (0 K), eV per atom: -0.517
Energy above the lowest structure with this stoichiometry, meV/atom: 380

Cell lengths 7.6950, 7.6950, 3.4233 Å; angles 90.00, 90.00, 90.00 degrees
With the nearest neighbours (Å) after each atom.
Atoms (fractional coordinates):
Ti  0.8675  0.3675  0.5000  6 As 2.71-3.00, 1 Ti 2.88
Sr  0.5000  0.5000  0.0000  4 As 2.97
Ti  0.3675  0.1325  0.5000  6 As 2.71-3.00, 1 Ti 2.88
As  0.1409  0.3591  0.0000  6 Ti 2.71-3.00, 2 Sr 2.97
As  0.6409  0.1409  0.0000  6 Ti 2.71-3.00, 2 Sr 2.97
Ti  0.1325  0.6325  0.5000  6 As 2.71-3.00, 1 Ti 2.88
Sr  0.0000  0.0000  0.0000  4 As 2.97
As  0.8591  0.6409  0.0000  6 Ti 2.71-3.00, 2 Sr 2.97
As  0.3591  0.8591  0.0000  6 Ti 2.71-3.00, 2 Sr 2.97
Ti  0.6325  0.8675  0.5000  6 As 2.71-3.00, 1 Ti 2.88

---

11.
# CrCdFe4

Crystalline CrCdFe4 at its relaxed geometry (GGA-PBE, Alexandria via LeMat-Bulk).

Summary:
SG: F-43m
ΔH_f (0 K), eV per atom: 0.197

Cell lengths 4.8344, 4.8344, 4.8344 Å; angles 60.00, 60.00, 60.00 degrees
With the nearest neighbours (Å) after each atom.
Atoms (fractional coordinates):
Fe  0.6249  0.6249  0.1252  6 Fe 2.42
Fe  0.6249  0.1252  0.6249  6 Fe 2.42
Fe  0.1252  0.6249  0.6249  6 Fe 2.42
Cd  0.2500  0.2500  0.2500  12 Fe 2.83, 4 Cr 2.96
Fe  0.6249  0.6249  0.6249  6 Fe 2.42
Cr  0.0000  0.0000  0.0000  12 Fe 2.83, 4 Cd 2.96

---

12.
# MgRuIO2

Crystalline MgRuIO2 at its relaxed geometry (GGA-PBE, Alexandria via LeMat-Bulk).

Summary:
SG: P4/mmm
ΔE_f (raw), eV per atom: -0.391
Energy above the lowest structure with this stoichiometry, meV/atom: 0

Cell lengths 3.9380, 3.9380, 5.7394 Å; angles 90.00, 90.00, 90.00 degrees
With the nearest neighbours (Å) after each atom.
Atoms (fractional coordinates):
O  0.5000  0.0000  0.0000  2 Ru 1.97
Mg  0.5000  0.5000  0.5000  4 I 2.78
I  0.0000  0.0000  0.5000  4 Mg 2.78, 2 Ru 2.87
O  0.0000  0.5000  0.0000  2 Ru 1.97
Ru  0.0000  0.0000  0.0000  4 O 1.97

---

| no. | energy (eV per atom) | magnetization (μB per cell) |
| --- | --- | --- |
| 1 | -2.91 | 0.0 |
| 2 | -2.70 | 0.0 |
| 3 | -4.06 | 4.0 |
| 4 | -5.75 | 0.0 |
| 5 | -1.82 | 0.0 |
| 6 | -2.18 | 0.0 |
| 7 | -3.47 | 0.0 |
| 8 | -7.23 | 6.0 |
| 9 | -6.32 | 8.1 |
| 10 | -5.87 | 0.0 |
| 11 | -7.20 | 5.6 |
| 12 | -4.86 | 0.0 |